Mg2TlCuH | PBE-GGA | optimized geometry

Cell: 4.8265 4.8265 3.5187 Å, 90.00 90.00 90.00°
With the nearest neighbours (Å) after each atom.
Space group P4/mmm (No. 123)
Symmetry-distinct sites (fractional):
Mg1 0.0000 0.5000 0.0000 [2 per cell]  2 H 2.41
Tl1 0.0000 0.0000 0.5000 [1 per cell]  8 Mg 2.99
Cu1 0.5000 0.5000 0.5000 [1 per cell]  2 H 1.76
H1 0.5000 0.5000 0.0000 [1 per cell]  2 Cu 1.76

Properties
As for the crystal system: tetragonal. The value obtained for the total moment is 0.000 μB per formula unit. For the total energy, the calculation gives -2.57 eV/atom.